Record 1
Material: CsLiUO4
Method: DFT, PBE
State: relaxed

Geometry as POSCAR:
```
CsLiUO4
1.0
5.5939 0.0000 0.0000
0.0000 5.6894 0.0000
-0.6514 0.0000 7.5704
Cs Li U O
2 2 2 8
Direct
0.2288 0.2500 0.0799
0.7712 0.7500 0.9201
0.3410 0.2500 0.6662
0.6590 0.7500 0.3338
0.1902 0.7500 0.4636
0.8098 0.2500 0.5364
0.0946 0.0058 0.6573
0.0946 0.4942 0.6573
0.3337 0.7500 0.2323
0.4682 0.2500 0.4377
0.5318 0.7500 0.5623
0.6663 0.2500 0.7677
0.9054 0.5058 0.3427
0.9054 0.9942 0.3427
```

Final energy = -103.49 eV for the cell shown
SG = P2_1/m (11)
Total moment = 0.000 μB per cell

=====

Record 2
Material: CsLi2U2O7
Method: DFT, PBE
State: relaxed

Geometry as POSCAR:
```
CsLi2U2O7
1.0
-2.1717 2.1717 9.1578
2.1717 -2.1717 9.1578
2.1717 2.1717 -9.1578
Cs Li U O
1 2 2 7
Direct
0.0000 0.0000 0.0000
0.2500 0.7500 0.5000
0.7500 0.2500 0.5000
0.3795 0.3795 0.0000
0.6205 0.6205 0.0000
0.1245 0.6245 0.5000
0.2717 0.2717 0.0000
0.3755 0.8755 0.5000
0.5000 0.5000 0.0000
0.6245 0.1245 0.5000
0.7283 0.7283 0.0000
0.8755 0.3755 0.5000
```

Final energy = -94.89 eV for the cell shown
SG = I4/mmm (139)
Total moment = 1.001 μB per cell

=====

Record 3
Material: Cs3LiU2O9
Method: DFT, PBE
State: relaxed

Geometry as POSCAR:
```
Cs3LiU2O9
1.0
6.3176 0.0000 0.0000
-3.1588 5.4712 0.0000
0.0000 0.0000 7.7803
Cs Li U O
3 1 2 9
Direct
0.0000 0.0000 0.0000
0.3333 0.6667 0.6516
0.6667 0.3333 0.3484
0.0000 0.0000 0.5000
0.3333 0.6667 0.1592
0.6667 0.3333 0.8408
0.0000 0.5000 0.0000
0.1841 0.3682 0.3049
0.1841 0.8159 0.3049
0.3682 0.1841 0.6951
0.5000 0.0000 0.0000
0.5000 0.5000 0.0000
0.6318 0.8159 0.3049
0.8159 0.1841 0.6951
0.8159 0.6318 0.6951
```

Final energy = -106.04 eV for the cell shown
SG = P-3m1 (164)
Total moment = 2.028 μB per cell

=====

Record 4
Material: Cs2Li2UO4
Method: DFT, PBE
State: relaxed

Geometry as POSCAR:
```
Cs2Li2UO4
1.0
6.4104 -1.8069 0.0000
6.4104 1.8069 0.0000
-2.4303 0.0000 6.6743
Cs Li U O
2 2 1 4
Direct
0.1457 0.1457 0.0837
0.8543 0.8543 0.9163
0.3195 0.3195 0.5208
0.6805 0.6805 0.4792
0.0000 0.0000 0.5000
0.1839 0.1839 0.6064
0.4817 0.4817 0.6934
0.5183 0.5183 0.3066
0.8161 0.8161 0.3936
```

Final energy = -55.51 eV for the cell shown
SG = C2/m (12)
Total moment = 1.986 μB per cell

=====

Please write out number 4 again, unchanged.
Material: Cs2Li2UO4
Method: DFT, PBE
State: relaxed

Geometry as POSCAR:
```
Cs2Li2UO4
1.0
6.4104 -1.8069 0.0000
6.4104 1.8069 0.0000
-2.4303 0.0000 6.6743
Cs Li U O
2 2 1 4
Direct
0.1457 0.1457 0.0837
0.8543 0.8543 0.9163
0.3195 0.3195 0.5208
0.6805 0.6805 0.4792
0.0000 0.0000 0.5000
0.1839 0.1839 0.6064
0.4817 0.4817 0.6934
0.5183 0.5183 0.3066
0.8161 0.8161 0.3936
```

Final energy = -55.51 eV for the cell shown
SG = C2/m (12)
Total moment = 1.986 μB per cell